Density functional theory data (PBE) for an optimized crystal structure of Ca2UTcO8.

Cell: 5.0838 5.0854 6.6299 Å, 90.00 90.00 92.03°
With the nearest neighbours (Å) after each atom.
Fractional coordinates of all 12 atoms:
Tc: 0.0000 0.0000 0.0000  6 O 1.82-2.03
Ca: 0.5000 0.5000 0.2438  6 O 2.31-2.36
Ca: 0.5000 0.5000 0.7562  6 O 2.31-2.36
O: 0.8226 0.1775 0.7643  1 Tc 2.03, 1 U 2.18
O: 0.8226 0.1775 0.2357  1 Tc 2.03, 1 U 2.18
O: 0.7422 0.7426 0.0000  1 Tc 1.82
O: 0.7212 0.7213 0.5000  1 U 1.97
O: 0.1774 0.8225 0.7643  1 Tc 2.03, 1 U 2.18
O: 0.2578 0.2574 0.0000  1 Tc 1.82
O: 0.2788 0.2787 0.5000  1 U 1.97
O: 0.1774 0.8225 0.2357  1 Tc 2.03, 1 U 2.18
U: 0.0000 0.0000 0.5000  6 O 1.97-2.18

Results
Crystal system: orthorhombic
Formation energy from raw total energies in eV/atom: -2.527
M_tot in μB/f.u.: 0.9
Symmetry: No. 65
Mass density in g cm⁻³: 5.28